1.
{"formula": "Dy2BeGaPd6", "functional": "PBE", "state": "optimized geometry", "dos_at_fermi_per_ev_cell": 4.42, "sg": "Fm-3m (225)", "e_form_mev_per_atom": -581, "volume_a3_per_atom": 18.335, "mass_density_g_cm3": 9.439, "lattice": [[6.375, -0.001, 0.000], [-0.001, 6.378, 0.000], [3.187, 3.188, 4.509]], "species": ["Pd", "Pd", "Pd", "Pd", "Pd", "Pd", "Dy", "Dy", "Be", "Ga"], "frac_coords": [[0.264, 0.264, 0.000], [0.736, 0.264, 0.000], [0.264, 0.736, 0.000], [0.736, 0.736, 0.528], [0.736, 0.736, 0.000], [0.264, 0.264, 0.472], [0.750, 0.250, 0.500], [0.250, 0.750, 0.500], [0.500, 0.500, 0.000], [0.000, 0.000, 0.000]]}

***

2.
{"formula": "Ba2CaWN4", "functional": "PBE", "state": "optimized geometry", "sg": "Pmn2_1 (31)", "e_form_raw_ev_per_atom": -0.932, "relative_energy_mev_per_atom": 38, "volume_a3_per_atom": 19.942, "mass_density_g_cm3": 5.772, "lattice": [[6.255, 0.000, 0.000], [0.000, 6.508, 0.000], [0.000, 0.000, 7.839]], "species": ["N", "N", "N", "N", "N", "N", "N", "N", "Ba", "Ba", "Ba", "Ba", "W", "W", "Ca", "Ca"], "frac_coords": [[0.740, 0.976, 0.500], [0.999, 0.353, 0.793], [0.261, 0.977, 0.500], [0.240, 0.024, 0.000], [0.999, 0.353, 0.207], [0.499, 0.647, 0.707], [0.499, 0.647, 0.293], [0.761, 0.023, 0.000], [0.500, 0.234, 0.754], [0.000, 0.766, 0.254], [0.500, 0.234, 0.246], [0.000, 0.766, 0.746], [0.000, 0.202, 0.000], [0.500, 0.798, 0.500], [0.500, 0.773, 0.000], [0.000, 0.227, 0.500]]}

***

3.
{"formula": "Na3Pr2USe6", "functional": "PBE", "state": "optimized geometry", "dos_at_fermi_per_ev_cell": 6.86, "sg": "C2/m (12)", "e_form_raw_ev_per_atom": -1.496, "volume_a3_per_atom": 27.745, "mass_density_g_cm3": 5.300, "lattice": [[7.391, -0.001, -0.001], [-3.694, 6.401, -0.001], [-1.234, -2.137, 7.038]], "species": ["Na", "Na", "Na", "Se", "Se", "Se", "Se", "Se", "Se", "Pr", "Pr", "U"], "frac_coords": [[0.832, 0.168, 0.500], [0.168, 0.832, 0.500], [0.500, 0.500, 0.500], [0.246, 0.246, 0.763], [0.079, 0.405, 0.238], [0.595, 0.921, 0.762], [0.405, 0.079, 0.238], [0.754, 0.754, 0.237], [0.921, 0.595, 0.762], [0.334, 0.666, 0.000], [0.666, 0.334, 0.000], [0.000, 0.000, 0.000]]}

***

4.
{"formula": "Nd2AgSn4Ir3", "functional": "PBE", "state": "optimized geometry", "dos_at_fermi_per_ev_cell": 5.22, "sg": "P-4m2 (115)", "e_form_mev_per_atom": -496, "volume_a3_per_atom": 22.539, "mass_density_g_cm3": 10.667, "lattice": [[4.538, 0.000, 0.000], [0.000, 4.538, 0.000], [0.000, 0.000, 10.946]], "species": ["Sn", "Sn", "Sn", "Sn", "Ir", "Ir", "Ir", "Nd", "Nd", "Ag"], "frac_coords": [[0.500, 0.000, 0.635], [0.000, 0.000, 0.000], [0.000, 0.500, 0.365], [0.500, 0.500, 0.000], [0.500, 0.000, 0.871], [0.000, 0.000, 0.500], [0.000, 0.500, 0.129], [0.000, 0.500, 0.758], [0.500, 0.000, 0.242], [0.500, 0.500, 0.500]]}

***

5.
{"formula": "KYCl", "functional": "PBE", "state": "optimized geometry", "dos_at_fermi_per_ev_cell": 3.43, "sg": "I4mm (107)", "e_form_raw_ev_per_atom": -0.676, "relative_energy_mev_per_atom": 161, "volume_a3_per_atom": 30.796, "mass_density_g_cm3": 2.938, "lattice": [[7.962, -0.013, 0.000], [6.437, 4.686, 0.000], [-7.199, -2.337, 2.470]], "species": ["Cl", "K", "Y"], "frac_coords": [[0.008, 0.008, 0.000], [0.357, 0.357, 0.000], [0.635, 0.635, 0.000]]}

***

6.
{"formula": "Y3FeGe", "functional": "PBE", "state": "optimized geometry", "dos_at_fermi_per_ev_cell": 3.43, "sg": "Pm-3m (221)", "e_form_mev_per_atom": 28, "relative_energy_mev_per_atom": 0, "volume_a3_per_atom": 23.816, "mass_density_g_cm3": 5.511, "lattice": [[-4.034, 1.301, -2.498], [-2.816, -1.920, 3.548], [-0.037, 4.339, 2.319]], "species": ["Y", "Y", "Y", "Ge", "Fe"], "frac_coords": [[0.000, 0.500, 0.000], [0.000, 0.000, 0.500], [0.500, 0.000, 0.000], [0.500, 0.500, 0.500], [0.000, 0.000, 0.000]]}

***

7.
{"formula": "Ho2SbSe", "functional": "PBE", "state": "optimized geometry", "dos_at_fermi_per_ev_cell": 2.52, "sg": "R3m (160)", "e_form_raw_ev_per_atom": -1.357, "relative_energy_mev_per_atom": 67, "volume_a3_per_atom": 26.840, "mass_density_g_cm3": 8.206, "lattice": [[4.151, 0.000, 0.000], [2.076, 3.595, 0.000], [2.076, 1.198, 7.195]], "species": ["Sb", "Ho", "Ho", "Se"], "frac_coords": [[0.499, 0.499, 0.503], [0.077, 0.077, 0.770], [0.255, 0.255, 0.234], [0.669, 0.669, 0.992]]}

***

8.
{"formula": "Hf6ZrPb", "functional": "PBE", "state": "optimized geometry", "dos_at_fermi_per_ev_cell": 7.94, "sg": "Amm2 (38)", "e_form_mev_per_atom": 7, "volume_a3_per_atom": 22.564, "mass_density_g_cm3": 12.597, "lattice": [[5.121, 0.000, 0.000], [0.000, 5.653, -2.945], [0.000, -0.258, 6.369]], "species": ["Hf", "Hf", "Hf", "Hf", "Hf", "Hf", "Zr", "Pb"], "frac_coords": [[0.500, 0.167, 0.833], [0.500, 0.664, 0.831], [0.000, 0.334, 0.666], [0.000, 0.333, 0.163], [0.000, 0.837, 0.667], [0.500, 0.169, 0.336], [0.500, 0.663, 0.337], [0.000, 0.834, 0.166]]}

***

9.
{"formula": "YCdIr2", "functional": "PBE", "state": "optimized geometry", "dos_at_fermi_per_ev_cell": 2.92, "sg": "Cm (8)", "e_form_mev_per_atom": -240, "volume_a3_per_atom": 18.869, "mass_density_g_cm3": 12.887, "lattice": [[-0.211, -4.467, -3.240], [1.429, -5.271, -0.817], [-3.728, -2.806, 1.593]], "species": ["Y", "Ir", "Ir", "Cd"], "frac_coords": [[0.480, 0.480, 0.556], [0.722, 0.722, 0.717], [0.024, 0.024, 0.035], [0.274, 0.274, 0.192]]}

***

10.
{"formula": "Mo2PbSe", "functional": "PBE", "state": "optimized geometry", "dos_at_fermi_per_ev_cell": 4.05, "sg": "P4/mmm (123)", "e_form_raw_ev_per_atom": 0.472, "relative_energy_mev_per_atom": 334, "volume_a3_per_atom": 17.989, "mass_density_g_cm3": 11.032, "lattice": [[3.234, 0.000, 0.000], [0.000, 3.234, 0.000], [0.000, 0.000, 6.882]], "species": ["Mo", "Mo", "Pb", "Se"], "frac_coords": [[0.000, 0.000, 0.954], [0.000, 0.000, 0.546], [0.500, 0.500, 0.250], [0.500, 0.500, 0.750]]}

***

11.
{"formula": "Y5Tl5Zn2", "functional": "PBE", "state": "optimized geometry", "dos_at_fermi_per_ev_cell": 8.57, "sg": "C2/m (12)", "e_form_mev_per_atom": -322, "volume_a3_per_atom": 25.798, "mass_density_g_cm3": 8.568, "lattice": [[-2.645, -1.506, -3.605], [5.082, -4.662, -4.869], [-4.680, -6.532, 3.074]], "species": ["Tl", "Tl", "Tl", "Tl", "Tl", "Zn", "Zn", "Y", "Y", "Y", "Y", "Y"], "frac_coords": [[0.969, 0.281, 0.782], [0.031, 0.719, 0.218], [0.697, 0.244, 0.361], [0.303, 0.756, 0.639], [0.000, 0.000, 0.000], [0.608, 0.543, 0.241], [0.392, 0.457, 0.759], [0.343, 0.984, 0.330], [0.000, 0.500, 0.500], [0.657, 0.016, 0.670], [0.310, 0.306, 0.073], [0.690, 0.694, 0.927]]}

***

12.
{"formula": "LiRh3W", "functional": "PBE", "state": "optimized geometry", "dos_at_fermi_per_ev_cell": 4.73, "sg": "Pm-3m (221)", "e_form_mev_per_atom": 564, "relative_energy_mev_per_atom": 430, "volume_a3_per_atom": 13.669, "mass_density_g_cm3": 12.136, "lattice": [[-3.461, -1.997, -0.865], [-0.845, -0.263, 3.991], [-2.005, 3.558, -0.190]], "species": ["Rh", "Rh", "Rh", "Li", "W"], "frac_coords": [[0.500, 0.000, 0.000], [0.000, 0.500, 0.000], [0.000, 0.000, 0.500], [0.000, 0.000, 0.000], [0.500, 0.500, 0.500]]}

***

13.
{"formula": "Zr2TaSe2", "functional": "PBE", "state": "optimized geometry", "dos_at_fermi_per_ev_cell": 2.28, "sg": "I4/mmm (139)", "e_form_raw_ev_per_atom": -0.283, "relative_energy_mev_per_atom": 370, "volume_a3_per_atom": 21.839, "mass_density_g_cm3": 7.928, "lattice": [[5.235, 0.000, 0.000], [0.000, 5.235, 0.000], [2.617, 2.617, 3.985]], "species": ["Zr", "Zr", "Se", "Se", "Ta"], "frac_coords": [[0.250, 0.750, 0.500], [0.750, 0.250, 0.500], [0.676, 0.676, 0.649], [0.324, 0.324, 0.351], [0.000, 0.000, 0.000]]}

***

14.
{"formula": "Cs2Si4Au5", "functional": "PBE", "state": "optimized geometry", "dos_at_fermi_per_ev_cell": 2.74, "sg": "C2/m (12)", "e_form_raw_ev_per_atom": -0.202, "volume_a3_per_atom": 27.502, "mass_density_g_cm3": 7.481, "lattice": [[6.473, 0.002, 3.057], [3.024, 5.234, 1.978], [-0.202, -0.182, 8.817]], "species": ["Si", "Si", "Si", "Si", "Au", "Au", "Au", "Au", "Au", "Cs", "Cs"], "frac_coords": [[0.847, 0.504, 0.802], [0.396, 0.053, 0.155], [0.153, 0.496, 0.198], [0.604, 0.947, 0.845], [0.824, 0.722, 0.085], [0.369, 0.722, 0.085], [0.176, 0.278, 0.915], [0.631, 0.278, 0.915], [0.000, 0.500, 0.500], [0.267, 0.815, 0.650], [0.733, 0.185, 0.350]]}

***

15.
{"formula": "RbCu3Sb3", "functional": "PBE", "state": "optimized geometry", "dos_at_fermi_per_ev_cell": 9.51, "sg": "Pm-3n (223)", "e_form_raw_ev_per_atom": 0.008, "relative_energy_mev_per_atom": 108, "volume_a3_per_atom": 27.351, "mass_density_g_cm3": 5.563, "lattice": [[-0.739, -5.580, 4.588], [6.954, 0.699, 1.970], [-1.955, 4.594, 5.273]], "species": ["Sb", "Sb", "Sb", "Sb", "Sb", "Sb", "Rb", "Rb", "Cu", "Cu", "Cu", "Cu", "Cu", "Cu"], "frac_coords": [[0.000, 0.250, 0.500], [0.750, 0.500, 0.000], [0.500, 0.000, 0.250], [0.250, 0.500, 0.000], [0.500, 0.000, 0.750], [0.000, 0.750, 0.500], [0.000, 0.000, 0.000], [0.500, 0.500, 0.500], [0.500, 0.750, 0.000], [0.750, 0.000, 0.500], [0.500, 0.250, 0.000], [0.000, 0.500, 0.750], [0.250, 0.000, 0.500], [0.000, 0.500, 0.250]]}

***

16.
{"formula": "Be4FeTc", "functional": "PBE", "state": "optimized geometry", "dos_at_fermi_per_ev_cell": 2.67, "sg": "F-43m (216)", "e_form_mev_per_atom": -283, "volume_a3_per_atom": 9.215, "mass_density_g_cm3": 5.703, "lattice": [[-1.031, 4.121, -0.494], [-2.493, 1.204, -3.259], [-4.004, 1.306, 0.740]], "species": ["Be", "Be", "Be", "Be", "Tc", "Fe"], "frac_coords": [[0.123, 0.626, 0.626], [0.626, 0.626, 0.123], [0.626, 0.123, 0.626], [0.626, 0.626, 0.626], [0.000, 0.000, 0.000], [0.250, 0.250, 0.250]]}

***

17.
{"formula": "CeSnB2Rh5", "functional": "PBE", "state": "optimized geometry", "dos_at_fermi_per_ev_cell": 5.90, "sg": "P4/mmm (123)", "e_form_mev_per_atom": -505, "volume_a3_per_atom": 15.421, "mass_density_g_cm3": 9.511, "lattice": [[4.165, 0.000, 0.000], [0.000, 4.165, 0.000], [0.000, 0.000, 8.001]], "species": ["Rh", "Rh", "Rh", "Rh", "Rh", "B", "B", "Sn", "Ce"], "frac_coords": [[0.000, 0.500, 0.768], [0.500, 0.500, 0.500], [0.500, 0.000, 0.232], [0.500, 0.000, 0.768], [0.000, 0.500, 0.232], [0.500, 0.500, 0.222], [0.500, 0.500, 0.778], [0.000, 0.000, 0.000], [0.000, 0.000, 0.500]]}

***

18.
{"formula": "BeNiSe2", "functional": "PBE", "state": "optimized geometry", "dos_at_fermi_per_ev_cell": 3.95, "sg": "Cmmm (65)", "e_form_raw_ev_per_atom": 0.119, "volume_a3_per_atom": 21.833, "mass_density_g_cm3": 4.290, "lattice": [[4.341, -0.296, 0.000], [-2.920, 3.225, 0.000], [0.000, 0.000, 6.648]], "species": ["Se", "Se", "Ni", "Be"], "frac_coords": [[0.000, 0.000, 0.490], [0.000, 0.000, 0.010], [0.500, 0.500, 0.750], [0.500, 0.500, 0.250]]}

***

19.
{"formula": "La15PmHo4", "functional": "PBE", "state": "optimized geometry", "dos_at_fermi_per_ev_cell": 27.88, "sg": "P4/mmm (123)", "e_form_mev_per_atom": 9, "volume_a3_per_atom": 35.383, "mass_density_g_cm3": 6.777, "lattice": [[5.211, 0.000, 0.000], [0.000, 5.211, 0.000], [0.000, 0.000, 26.065]], "species": ["La", "La", "La", "La", "La", "La", "La", "La", "La", "La", "La", "La", "La", "La", "La", "Pm", "Ho", "Ho", "Ho", "Ho"], "frac_coords": [[0.500, 0.000, 0.300], [0.500, 0.500, 0.201], [0.000, 0.500, 0.700], [0.500, 0.500, 0.400], [0.500, 0.500, 0.799], [0.000, 0.500, 0.300], [0.500, 0.000, 0.700], [0.000, 0.500, 0.101], [0.500, 0.000, 0.500], [0.500, 0.000, 0.101], [0.500, 0.000, 0.899], [0.000, 0.500, 0.500], [0.500, 0.500, 0.000], [0.500, 0.500, 0.600], [0.000, 0.500, 0.899], [0.000, 0.000, 0.000], [0.000, 0.000, 0.400], [0.000, 0.000, 0.600], [0.000, 0.000, 0.201], [0.000, 0.000, 0.799]]}

***

20.
{"formula": "Li3Ag2Sn3", "functional": "PBE", "state": "optimized geometry", "dos_at_fermi_per_ev_cell": 2.36, "sg": "R32 (155)", "e_form_mev_per_atom": -240, "relative_energy_mev_per_atom": 30, "volume_a3_per_atom": 19.893, "mass_density_g_cm3": 6.184, "lattice": [[5.419, -0.033, 0.027], [-0.027, 5.419, 0.027], [0.033, 0.033, 5.419]], "species": ["Li", "Li", "Li", "Sn", "Sn", "Sn", "Ag", "Ag"], "frac_coords": [[0.500, 0.221, 0.221], [0.221, 0.779, 0.500], [0.779, 0.500, 0.779], [0.727, 0.000, 0.727], [0.273, 0.727, 0.000], [0.000, 0.273, 0.273], [0.737, 0.737, 0.263], [0.263, 0.263, 0.737]]}

***

21.
{"formula": "Ti2Tl2CoS6", "functional": "PBE", "state": "optimized geometry", "dos_at_fermi_per_ev_cell": 4.41, "sg": "C2/m (12)", "e_form_raw_ev_per_atom": -0.829, "volume_a3_per_atom": 21.564, "mass_density_g_cm3": 5.291, "lattice": [[-5.575, 0.615, 2.080], [1.903, -5.345, -1.895], [3.773, 0.071, 6.990]], "species": ["S", "S", "S", "S", "S", "S", "Co", "Tl", "Tl", "Ti", "Ti"], "frac_coords": [[0.931, 0.614, 0.321], [0.614, 0.931, 0.321], [0.745, 0.745, 0.673], [0.386, 0.069, 0.679], [0.255, 0.255, 0.327], [0.069, 0.386, 0.679], [0.000, 0.000, 0.500], [0.830, 0.170, 0.000], [0.170, 0.830, 0.000], [0.329, 0.671, 0.500], [0.671, 0.329, 0.500]]}

***

22.
{"formula": "CaCdHg2", "functional": "PBE", "state": "optimized geometry", "dos_at_fermi_per_ev_cell": 2.63, "sg": "P4mm (99)", "e_form_mev_per_atom": -270, "volume_a3_per_atom": 26.089, "mass_density_g_cm3": 8.810, "lattice": [[3.878, 0.000, 0.000], [0.000, 3.878, 0.000], [0.000, 0.000, 6.939]], "species": ["Hg", "Hg", "Cd", "Ca"], "frac_coords": [[0.000, 0.000, 0.990], [0.500, 0.500, 0.243], [0.500, 0.500, 0.775], [0.000, 0.000, 0.491]]}

***

23.
{"formula": "LaDy4Tl2", "functional": "PBE", "state": "optimized geometry", "dos_at_fermi_per_ev_cell": 20.14, "sg": "Fmmm (69)", "e_form_mev_per_atom": -95, "relative_energy_mev_per_atom": 0, "volume_a3_per_atom": 31.878, "mass_density_g_cm3": 8.912, "lattice": [[-1.289, 0.863, 10.659], [3.107, -6.070, 0.867], [3.774, 5.823, -0.015]], "species": ["La", "La", "Dy", "Dy", "Dy", "Dy", "Dy", "Dy", "Dy", "Dy", "Tl", "Tl", "Tl", "Tl"], "frac_coords": [[0.000, 0.000, 0.000], [0.500, 0.500, 0.000], [0.830, 0.500, 0.000], [0.750, 0.500, 0.500], [0.250, 0.500, 0.500], [0.670, 0.000, 0.000], [0.330, 0.000, 0.000], [0.750, 0.000, 0.500], [0.250, 0.000, 0.500], [0.170, 0.500, 0.000], [0.500, 0.216, 0.432], [0.000, 0.284, 0.568], [0.500, 0.784, 0.568], [0.000, 0.716, 0.432]]}

***

DFT total energy values, unit eV per atom, following the record order: -5.2923, -7.4447, -5.3050, -5.9940, -3.8120, -6.4665, -5.5474, -8.9901, -6.5148, -6.7416, -4.2139, -6.8200, -7.4670, -3.8189, -3.6524, -5.9055, -7.1773, -4.0005, -4.8400, -3.1714, -5.5921, -1.1505, -4.1048.